# 1
## Mg3CuHg4 (PBE)

Data for a geometry-optimized Mg3CuHg4 structure.

Calculated values
The value obtained for the formation energy is -0.1102 eV per atom. The calculated volume comes out at 20.26 A^3/atom. The calculation puts the density of states at the Fermi level at 2.1 states/eV per cell. The uncorrected energy comes out at -11.0 eV/cell.

Geometry as CIF:
```
data_Mg3CuHg4
_cell_length_a 3.5286
_cell_length_b 3.5286
_cell_length_c 13.0196
_cell_angle_alpha 90.00
_cell_angle_beta 90.00
_cell_angle_gamma 90.00
_symmetry_space_group_name_H-M 'P 4/m m m'
_symmetry_Int_Tables_number 123
_symmetry_space_group_name_Hall '-P 4 2'
loop_
_atom_site_label
_atom_site_type_symbol
_atom_site_fract_x
_atom_site_fract_y
_atom_site_fract_z
Mg1 Mg 0.0000 0.0000 0.0000
Mg2 Mg 0.0000 0.0000 0.2619
Cu1 Cu 0.0000 0.0000 0.5000
Hg1 Hg 0.5000 0.5000 0.1308
Hg2 Hg 0.5000 0.5000 0.3869
```


# 2
## MgCuHg2 (PBE)

Data for a geometry-optimized MgCuHg2 structure.

Calculated values
The value obtained for the formation energy is 0.0214 eV per atom. The calculated volume comes out at 20.08 A^3/atom. The calculation puts the density of states at the Fermi level at 1.2 states/eV per cell. The uncorrected energy comes out at -6.2 eV/cell.

Geometry as CIF:
```
data_MgCuHg2
_cell_length_a 3.2855
_cell_length_b 4.3021
_cell_length_c 5.8832
_cell_angle_alpha 90.00
_cell_angle_beta 104.97
_cell_angle_gamma 90.00
_symmetry_space_group_name_H-M 'P 1 m 1'
_symmetry_Int_Tables_number 6
loop_
_symmetry_equiv_pos_as_xyz
'x,y,z'
'x,-y,z'
loop_
_atom_site_label
_atom_site_type_symbol
_atom_site_fract_x
_atom_site_fract_y
_atom_site_fract_z
Mg1 Mg 0.0000 0.0000 0.0000
Cu1 Cu 0.5798 0.5000 0.1789
Hg1 Hg 0.3526 0.5000 0.7137
Hg2 Hg 0.7272 0.0000 0.4513
```


# 3
## Mg2CuHg (PBE)

Data for a geometry-optimized Mg2CuHg structure.

Calculated values
The value obtained for the formation energy is -0.1482 eV per atom. The calculated volume comes out at 18.41 A^3/atom. The calculation puts the density of states at the Fermi level at 1.2 states/eV per cell. The uncorrected energy comes out at -8.2 eV/cell.

Geometry as CIF:
```
data_Mg2CuHg
_cell_length_a 3.2489
_cell_length_b 3.2489
_cell_length_c 6.9764
_cell_angle_alpha 90.00
_cell_angle_beta 90.00
_cell_angle_gamma 90.00
_symmetry_space_group_name_H-M 'P 4/m m m'
_symmetry_Int_Tables_number 123
_symmetry_space_group_name_Hall '-P 4 2'
loop_
_atom_site_label
_atom_site_type_symbol
_atom_site_fract_x
_atom_site_fract_y
_atom_site_fract_z
Mg1 Mg 0.0000 0.0000 0.2197
Cu1 Cu 0.5000 0.5000 0.0000
Hg1 Hg 0.5000 0.5000 0.5000
```


# 4
## Mg3Cu2Hg (PBE)

Data for a geometry-optimized Mg3Cu2Hg structure.

Calculated values
The value obtained for the formation energy is -0.1401 eV per atom. The calculated volume comes out at 17.48 A^3/atom. The calculation puts the density of states at the Fermi level at 2.2 states/eV per cell. The uncorrected energy comes out at -14.1 eV/cell.

Geometry as CIF:
```
data_Mg3Cu2Hg
_cell_length_a 3.2199
_cell_length_b 3.2199
_cell_length_c 10.1166
_cell_angle_alpha 90.00
_cell_angle_beta 90.00
_cell_angle_gamma 90.00
_symmetry_space_group_name_H-M 'P 4/m m m'
_symmetry_Int_Tables_number 123
_symmetry_space_group_name_Hall '-P 4 2'
loop_
_atom_site_label
_atom_site_type_symbol
_atom_site_fract_x
_atom_site_fract_y
_atom_site_fract_z
Mg1 Mg 0.0000 0.0000 0.0000
Mg2 Mg 0.0000 0.0000 0.3045
Cu1 Cu 0.5000 0.5000 0.1488
Hg1 Hg 0.5000 0.5000 0.5000
```


# 5
## Mg2CuHg (PBE)

Data for a geometry-optimized Mg2CuHg structure.

Calculated values
The value obtained for the formation energy is 0.0395 eV per atom. The calculated volume comes out at 21.56 A^3/atom. The calculation puts the density of states at the Fermi level at 4.9 states/eV per cell. The uncorrected energy comes out at -22.3 eV/cell.

Geometry as CIF:
```
data_Mg2CuHg
_cell_length_a 4.0878
_cell_length_b 4.0878
_cell_length_c 17.8778
_cell_angle_alpha 90.00
_cell_angle_beta 90.00
_cell_angle_gamma 120.00
_symmetry_space_group_name_H-M 'R 3 m'
_symmetry_Int_Tables_number 160
_symmetry_space_group_name_Hall 'R 3 -2"'
loop_
_atom_site_label
_atom_site_type_symbol
_atom_site_fract_x
_atom_site_fract_y
_atom_site_fract_z
Mg1 Mg 0.0000 0.0000 0.0000
Mg2 Mg 0.0000 0.0000 0.1975
Cu1 Cu 0.0000 0.0000 0.6020
Hg1 Hg 0.0000 0.0000 0.7651
```


# 6
## MgCu2Hg (PBE)

Data for a geometry-optimized MgCu2Hg structure.

Calculated values
The value obtained for the formation energy is -0.0169 eV per atom. The calculated volume comes out at 16.06 A^3/atom. The calculation puts the density of states at the Fermi level at 3.1 states/eV per cell. The uncorrected energy comes out at -20.3 eV/cell.

Geometry as CIF:
```
data_MgCu2Hg
_cell_length_a 9.3622
_cell_length_b 3.6695
_cell_length_c 4.1684
_cell_angle_alpha 90.00
_cell_angle_beta 116.20
_cell_angle_gamma 90.00
_symmetry_space_group_name_H-M 'C 1 m 1'
_symmetry_Int_Tables_number 8
loop_
_symmetry_equiv_pos_as_xyz
'x,y,z'
'x,-y,z'
'x+1/2,y+1/2,z'
'x+1/2,-y+1/2,z'
loop_
_atom_site_label
_atom_site_type_symbol
_atom_site_fract_x
_atom_site_fract_y
_atom_site_fract_z
Mg1 Mg 0.0000 0.0000 0.0000
Cu1 Cu 0.0186 0.5000 0.5195
Cu2 Cu 0.2380 0.0000 0.7367
Hg1 Hg 0.2651 0.5000 0.2651
```


# 7
## MgCu2Hg (PBE)

Data for a geometry-optimized MgCu2Hg structure.

Calculated values
The value obtained for the formation energy is 0.0145 eV per atom. The calculated volume comes out at 16.13 A^3/atom. The calculation puts the density of states at the Fermi level at 1.3 states/eV per cell. The uncorrected energy comes out at -10.0 eV/cell.

Geometry as CIF:
```
data_MgCu2Hg
_cell_length_a 3.2192
_cell_length_b 3.3215
_cell_length_c 6.0337
_cell_angle_alpha 90.00
_cell_angle_beta 90.00
_cell_angle_gamma 90.00
_symmetry_space_group_name_H-M 'P m m m'
_symmetry_Int_Tables_number 47
loop_
_symmetry_equiv_pos_as_xyz
'x,y,z'
'-x,-y,-z'
'-x,-y,z'
'x,y,-z'
'x,-y,-z'
'-x,y,z'
'-x,y,-z'
'x,-y,z'
loop_
_atom_site_label
_atom_site_type_symbol
_atom_site_fract_x
_atom_site_fract_y
_atom_site_fract_z
Mg1 Mg 0.0000 0.0000 0.0000
Cu1 Cu 0.5000 0.5000 0.2351
Hg1 Hg 0.0000 0.0000 0.5000
```


# 8
## MgCu4Hg (PBE)

Data for a geometry-optimized MgCu4Hg structure.

Calculated values
The value obtained for the formation energy is -0.0435 eV per atom. The calculated volume comes out at 14.77 A^3/atom. The calculation puts the density of states at the Fermi level at 18.6 states/eV per cell. The uncorrected energy comes out at -74.2 eV/cell.

Geometry as CIF:
```
data_MgCu4Hg
_cell_length_a 7.0765
_cell_length_b 7.0765
_cell_length_c 7.0765
_cell_angle_alpha 90.00
_cell_angle_beta 90.00
_cell_angle_gamma 90.00
_symmetry_space_group_name_H-M 'F -4 3 m'
_symmetry_Int_Tables_number 216
_symmetry_space_group_name_Hall 'F -4 2 3'
loop_
_atom_site_label
_atom_site_type_symbol
_atom_site_fract_x
_atom_site_fract_y
_atom_site_fract_z
Mg1 Mg 0.0000 0.0000 0.0000
Cu1 Cu 0.1254 0.1254 0.3746
Hg1 Hg 0.2500 0.2500 0.7500
```


# 9
## MgCuHg2 (PBE)

Data for a geometry-optimized MgCuHg2 structure.

Calculated values
The value obtained for the formation energy is 0.0762 eV per atom. The calculated volume comes out at 20.95 A^3/atom. The calculation puts the density of states at the Fermi level at 5.6 states/eV per cell. The uncorrected energy comes out at -18.0 eV/cell.

Geometry as CIF:
```
data_MgCuHg2
_cell_length_a 3.4762
_cell_length_b 3.4762
_cell_length_c 24.0244
_cell_angle_alpha 90.00
_cell_angle_beta 90.00
_cell_angle_gamma 120.00
_symmetry_space_group_name_H-M 'R -3 m'
_symmetry_Int_Tables_number 166
_symmetry_space_group_name_Hall '-R 3 2"'
loop_
_atom_site_label
_atom_site_type_symbol
_atom_site_fract_x
_atom_site_fract_y
_atom_site_fract_z
Mg1 Mg 0.0000 0.0000 0.0000
Cu1 Cu 0.0000 0.0000 0.5000
Hg1 Hg 0.0000 0.0000 0.2434
```


# 10
## MgCu3Hg (PBE)

Data for a geometry-optimized MgCu3Hg structure.

Calculated values
The value obtained for the formation energy is 0.8731 eV per atom. The calculated volume comes out at 19.99 A^3/atom. The calculation puts the density of states at the Fermi level at 2.0 states/eV per cell. The uncorrected energy comes out at -9.8 eV/cell.

Geometry as CIF:
```
data_MgCu3Hg
_cell_length_a 4.6405
_cell_length_b 4.6405
_cell_length_c 4.6405
_cell_angle_alpha 90.00
_cell_angle_beta 90.00
_cell_angle_gamma 90.00
_symmetry_space_group_name_H-M 'P m -3 m'
_symmetry_Int_Tables_number 221
_symmetry_space_group_name_Hall '-P 4 2 3'
loop_
_atom_site_label
_atom_site_type_symbol
_atom_site_fract_x
_atom_site_fract_y
_atom_site_fract_z
Mg1 Mg 0.0000 0.0000 0.0000
Cu1 Cu 0.0000 0.0000 0.5000
Hg1 Hg 0.5000 0.5000 0.5000
```


# 11
## Mg2CuHg (PBE)

Data for a geometry-optimized Mg2CuHg structure.

Calculated values
The value obtained for the formation energy is -0.1051 eV per atom. The calculated volume comes out at 19.15 A^3/atom. The calculation puts the density of states at the Fermi level at 1.1 states/eV per cell. The uncorrected energy comes out at -8.0 eV/cell.

Geometry as CIF:
```
data_Mg2CuHg
_cell_length_a 3.2466
_cell_length_b 4.3994
_cell_length_c 5.5660
_cell_angle_alpha 90.00
_cell_angle_beta 105.58
_cell_angle_gamma 90.00
_symmetry_space_group_name_H-M 'P 1 m 1'
_symmetry_Int_Tables_number 6
loop_
_symmetry_equiv_pos_as_xyz
'x,y,z'
'x,-y,z'
loop_
_atom_site_label
_atom_site_type_symbol
_atom_site_fract_x
_atom_site_fract_y
_atom_site_fract_z
Mg1 Mg 0.0000 0.0000 0.0000
Mg2 Mg 0.3127 0.5000 0.6456
Cu1 Cu 0.5748 0.5000 0.1586
Hg1 Hg 0.7211 0.0000 0.4574
```


# 12
## MgCuHg2 (PBE)

Data for a geometry-optimized MgCuHg2 structure.

Calculated values
The value obtained for the formation energy is 0.0057 eV per atom. The calculated volume comes out at 19.41 A^3/atom. The calculation puts the density of states at the Fermi level at 0.8 states/eV per cell. The uncorrected energy comes out at -6.3 eV/cell.

Geometry as CIF:
```
data_MgCuHg2
_cell_length_a 3.5314
_cell_length_b 3.5314
_cell_length_c 6.2268
_cell_angle_alpha 90.00
_cell_angle_beta 90.00
_cell_angle_gamma 90.00
_symmetry_space_group_name_H-M 'P 4 m m'
_symmetry_Int_Tables_number 99
loop_
_symmetry_equiv_pos_as_xyz
'x,y,z'
'-y,x,z'
'-x,-y,z'
'y,-x,z'
'-x,y,z'
'y,x,z'
'x,-y,z'
'-y,-x,z'
loop_
_atom_site_label
_atom_site_type_symbol
_atom_site_fract_x
_atom_site_fract_y
_atom_site_fract_z
Mg1 Mg 0.0000 0.0000 0.0000
Cu1 Cu 0.5000 0.5000 0.2244
Hg1 Hg 0.0000 0.0000 0.4482
Hg2 Hg 0.5000 0.5000 0.7566
```